Zr5AlSi (PBE, relaxed); E = -54.01 eV per formula unit; M_tot = 0.000 μB/atom; mass density = 5.6 Mg/m³; energy above the most stable polymorph in this dataset = 0.000 kcal/mol of atoms; raw formation energy = -300 meV/atom
1.0
4.388 0.000 0.000
0.000 4.388 0.000
0.000 0.000 7.836
Zr Al Si
5 1 1
direct
0.000 0.000 0.000 Zr
0.000 0.500 0.280 Zr
0.000 0.500 0.720 Zr
0.500 0.000 0.280 Zr
0.500 0.000 0.720 Zr
0.500 0.500 0.000 Al
0.500 0.500 0.500 Si

***

ZrAl3Si3 (PBE, relaxed); E = -36.50 eV per formula unit; M_tot = 0.000 μB/atom; mass density = 3.6 Mg/m³; energy above the most stable polymorph in this dataset = 2.143 kcal/mol of atoms; raw formation energy = -65 meV/atom
1.0
8.522 0.000 0.000
-4.261 7.380 0.000
0.000 0.000 3.782
Zr Al Si
2 6 6
direct
0.333 0.667 0.250 Zr
0.667 0.333 0.750 Zr
0.048 0.244 0.750 Al
0.197 0.952 0.750 Al
0.244 0.197 0.250 Al
0.756 0.803 0.750 Al
0.803 0.048 0.250 Al
0.952 0.756 0.250 Al
0.052 0.607 0.750 Si
0.393 0.446 0.750 Si
0.446 0.052 0.250 Si
0.554 0.948 0.750 Si
0.607 0.554 0.250 Si
0.948 0.393 0.250 Si